The following is a DFT calculation (PBE) of a relaxed AlCrAu crystal.

The space group is P-6m2 (No. 187) and the conventional cell measures 4.3694, 4.3694 and 2.9891 Å, with angles of 90.00, 90.00 and 120.00 degrees. The asymmetric unit holds Al at (0.0000, 0.0000, 0.0000), Cr at (0.3333, 0.6667, 0.5000) and Au at (0.6667, 0.3333, 0.0000).

For the total energy, the calculation gives -5.61 eV/atom. For the magnetization, the calculation gives 3.5 μB per formula unit. Its formation energy is -18 kJ/mol of formula units.

The following is a DFT calculation (PBE) of a relaxed InHg5 crystal.

The space group is Cm (No. 8) and the conventional cell measures 13.1634, 3.3413 and 7.5089 Å, with angles of 90.00, 101.42 and 90.00 degrees. The asymmetric unit holds In at (0.0000, 0.0000, 0.0000), Hg at (0.0613, 0.0000, 0.6173), Hg at (0.1653, 0.5000, 0.3368), Hg at (0.2256, 0.5000, 0.9520), Hg at (0.3327, 0.0000, 0.6697) and Hg at (0.3881, 0.0000, 0.2871).

For the total energy, the calculation gives -0.71 eV/atom. For the magnetization, the calculation gives 0.0 μB per formula unit. Its formation energy is 1 kJ/mol of formula units. The offset from the most stable computed form is 5 meV/atom.

The following is a DFT calculation (PBE) of a relaxed Tl2RuSe crystal.

The space group is Pm (No. 6) and the conventional cell measures 4.5835, 3.2575 and 6.7968 Å, with angles of 90.00, 109.65 and 90.00 degrees. The asymmetric unit holds Tl at (0.0000, 0.0000, 0.0000), Tl at (0.3104, 0.5000, 0.6188), Ru at (0.7712, 0.0000, 0.5398) and Se at (0.6260, 0.5000, 0.2516).

For the total energy, the calculation gives -4.29 eV/atom. For the magnetization, the calculation gives 0.0 μB per formula unit. For the formation energy from raw total energies, the calculation gives 0.09 eV per atom. The offset from the most stable computed form is 13 meV/atom.